DFT (PBE-GGA) results for an optimized crystal structure of BaScS2.

Calculated values
For the uncorrected formation energy, the calculation gives -1.35 eV per atom. The electronic total energy is -5.476 eV per atom. The calculation puts the total magnetization at 1.0 μB per formula unit. The value obtained for the energy above the most stable polymorph in this dataset is 479 meV/atom.

a = 5.069 Å, b = 5.069 Å, c = 5.069 Å
α = 60.00°, β = 60.00°, γ = 60.00°
Last column: magnetic moment on the atom in μB.
Atoms (fractional coordinates):
Sc1 0.000 0.000 0.000  0.65
S1 0.250 0.250 0.250  -0.03
S2 0.750 0.750 0.750  -0.03
Ba1 0.500 0.500 0.500  0.09